<P>
8
Lattice="-5.524 1.304 0.350 -0.633 -3.982 -4.010 2.577 -1.587 4.814" Properties=species:S:1:pos:R:3 comment="NaIn2Pd5, relaxed, DFT PBE" volume_a3_per_cell=135 space_group="I4/mmm, No. 139" pbc="T T T"
Na -2.215 -3.670 1.966
In -0.739 -3.529 -0.615
In -3.184 -0.885 1.565
Pd -0.422 -1.538 1.391
Pd -2.028 -2.734 -3.021
Pd -1.895 -1.679 3.971
Pd -3.500 -2.875 -0.441
Pd -1.710 -0.743 -1.016


<Q>
8
Lattice="-0.426 -0.736 -3.737 -6.093 -3.191 -0.643 -5.138 4.070 -2.182" Properties=species:S:1:pos:R:3 comment="NaIn2Pd5, relaxed, DFT PBE" volume_a3_per_cell=157 space_group="Immm, No. 71" pbc="T T T"
Na 0.000 0.000 0.000
In -8.733 0.106 -4.922
In -2.923 0.037 -1.640
Pd -5.615 0.439 -1.412
Pd -4.610 -1.553 -3.100
Pd -7.046 1.695 -3.462
Pd -7.418 -1.133 -2.863
Pd -4.238 1.276 -3.699


Most stable to least stable: <P>, <Q>